(1)
This record from Alexandria via LeMat-Bulk describes crystalline ScF4 at its relaxed geometry. The functional is PBE-GGA.

The structure belongs to space group P-43m (No. 215); the cell edges are 4.306, 4.306 and 4.306 Å and the angles 90.00°, 90.00° and 90.00°. The distinct sites, in fractional coordinates, are Sc at (0.000, 0.000, 0.000) and F at (0.259, 0.259, 0.259).

The raw total energy is -27.33 eV/f.u. The value obtained for the uncorrected formation energy is -261 kJ/mol of atoms.

(2)
This record from Alexandria via LeMat-Bulk describes crystalline ScF at its relaxed geometry. The functional is PBE-GGA.

The structure belongs to space group P4_2/mnm (No. 136); the cell edges are 6.256, 6.256 and 3.417 Å and the angles 90.00°, 90.00° and 90.00°. The distinct sites, in fractional coordinates, are Sc at (0.207, 0.207, 0.000) and F at (0.132, 0.868, 0.000).

The raw total energy is -12.58 eV/f.u. The value obtained for the uncorrected formation energy is -211 kJ/mol of atoms.

(3)
This record from Alexandria via LeMat-Bulk describes crystalline ScF4 at its relaxed geometry. The functional is PBE-GGA.

The structure belongs to space group Pm-3m (No. 221); the cell edges are 4.079, 4.079 and 4.079 Å and the angles 90.00°, 90.00° and 90.00°. The distinct sites, in fractional coordinates, are Sc at (0.000, 0.000, 0.000), F at (0.000, 0.000, 0.500) and F at (0.500, 0.500, 0.500).

The raw total energy is -28.58 eV/f.u. The value obtained for the uncorrected formation energy is -285 kJ/mol of atoms.

(4)
This record from Alexandria via LeMat-Bulk describes crystalline ScF3 at its relaxed geometry. The functional is PBE-GGA.

The structure belongs to space group Pnma (No. 62); the cell edges are 5.492, 6.893 and 4.798 Å and the angles 90.00°, 90.00° and 90.00°. The distinct sites, in fractional coordinates, are Sc at (0.132, 0.250, 0.040), F at (0.054, 0.750, 0.326) and F at (0.154, 0.573, 0.820).

The raw total energy is -27.44 eV/f.u. The value obtained for the uncorrected formation energy is -374 kJ/mol of atoms.

(5)
This record from Alexandria via LeMat-Bulk describes crystalline ScF at its relaxed geometry. The functional is PBE-GGA.

The structure belongs to space group Pm-3n (No. 223); the cell edges are 6.237, 6.237 and 6.237 Å and the angles 90.00°, 90.00° and 90.00°. The distinct sites, in fractional coordinates, are Sc at (0.000, 0.250, 0.500) and F at (0.000, 0.500, 0.250).

The raw total energy is -11.87 eV/f.u. The value obtained for the uncorrected formation energy is -177 kJ/mol of atoms.

(6)
This record from Alexandria via LeMat-Bulk describes crystalline ScF2 at its relaxed geometry. The functional is PBE-GGA.

The structure belongs to space group C2/m (No. 12); the cell edges are 5.434, 3.199 and 5.004 Å and the angles 90.00°, 91.09° and 90.00°. The distinct sites, in fractional coordinates, are Sc at (0.000, 0.000, 0.000) and F at (0.166, 0.500, 0.239).

The raw total energy is -19.54 eV/f.u. The value obtained for the uncorrected formation energy is -304 kJ/mol of atoms.

(7)
This record from Alexandria via LeMat-Bulk describes crystalline ScSeF at its relaxed geometry. The functional is PBE-GGA.

The structure belongs to space group C2/m (No. 12); the cell edges are 12.802, 3.635 and 5.953 Å and the angles 90.00°, 99.80° and 90.00°. The distinct sites, in fractional coordinates, are Sc at (0.000, 0.000, 0.000), Sc at (0.000, 0.500, 0.500), Se at (0.133, 0.000, 0.713) and F at (0.066, 0.500, 0.186).

The raw total energy is -19.24 eV/f.u. The value obtained for the uncorrected formation energy is -243 kJ/mol of atoms.

(8)
This record from Alexandria via LeMat-Bulk describes crystalline ScSeF2 at its relaxed geometry. The functional is PBE-GGA.

The structure belongs to space group I4_1/amd (No. 141, origin choice 2); the cell edges are 5.013, 5.013 and 12.318 Å and the angles 90.00°, 90.00° and 90.00°. The distinct sites, in fractional coordinates, are Sc at (0.000, 0.250, 0.375), Se at (0.000, 0.250, 0.875) and F at (0.000, 0.000, 0.500).

The raw total energy is -22.85 eV/f.u. The value obtained for the uncorrected formation energy is -224 kJ/mol of atoms.

The following V values (in Å³/atom) correspond, in order, to the records above: 15.96 16.72 13.57 11.35 20.21 14.49 22.75 19.35.
The following total magnetization values (in μB/cell) correspond, in order, to the records above: 1.01 0.00 1.00 0.00 7.32 0.00 0.00 4.00.